This record from Alexandria describes a relaxed BaTcIr2 crystal. The functional is PBE.

The structure belongs to space group Pm (No. 6); the cell edges are 3.010, 4.369 and 6.612 Å and the angles 90.00°, 97.53° and 90.00°. The distinct sites, in fractional coordinates, are Ba at (0.000, 0.000, 0.000), Tc at (0.179, 0.500, 0.591), Ir at (0.542, 0.000, 0.525) and Ir at (0.591, 0.500, 0.276).

As for the volume: 86 Å³/f.u. As for the electronic total energy: -6.977 eV/atom.



This record from Alexandria describes a relaxed ZrIn2Ir crystal. The functional is PBE.

The structure belongs to space group I4/mmm (No. 139); the cell edges are 4.332, 4.332 and 8.461 Å and the angles 90.00°, 90.00° and 90.00°. The distinct sites, in fractional coordinates, are Zr at (0.000, 0.000, 0.000), In at (0.000, 0.500, 0.250) and Ir at (0.000, 0.000, 0.500).

As for the volume: 79 Å³/f.u. As for the electronic total energy: -5.783 eV/atom.



Look up the electronic total energy of the second one. -5.783 eV/atom



Number 2 is which compound? ZrIn2Ir



The highest electronic total energy belongs to which entry? ZrIn2Ir